*w*
Compound: YAgPO2
Source: Alexandria via LeMat-Bulk
Functional: PBE
Structure: optimized geometry

Calculated values
V ... 108.42 Å³/cell

```
YAgPO2
1.0
4.2243 0.0000 0.0000
0.0000 4.2243 0.0000
0.0000 0.0000 6.0757
P Y Ag O
1 1 1 2
Direct
0.0000 0.0000 0.5000 P
0.0000 0.0000 0.0000 Y
0.5000 0.5000 0.5000 Ag
0.5000 0.0000 0.0000 O
0.0000 0.5000 0.0000 O
```

---

*x*
Compound: YAgPO2
Source: Alexandria via LeMat-Bulk
Functional: PBE
Structure: optimized geometry

Calculated values
V ... 81.11 Å³/cell

```
YAgPO2
1.0
-0.6669 0.8419 -4.0033
-3.2411 -2.5836 -0.0033
-2.8433 3.5653 1.2235
Ag O Y P
1 2 1 1
Direct
0.0000 0.0000 0.0000 Ag
0.0000 0.5000 0.0000 O
0.5000 0.0000 0.0000 O
0.5000 0.5000 0.5000 Y
0.0000 0.0000 0.5000 P
```

---

The most stable arrangement is *w*, and the next structure is 167 meV/atom less stable.

---

*w*
Compound: YAgP2O
Source: Alexandria via LeMat-Bulk
Functional: PBE
Structure: optimized geometry

Calculated values
V ... 94.68 Å³/cell

```
YAgP2O
1.0
4.7931 0.0000 0.0000
0.0000 4.7931 0.0000
0.0000 0.0000 4.1213
P O Ag Y
2 1 1 1
Direct
0.5000 0.0000 0.0000 P
0.0000 0.5000 0.0000 P
0.0000 0.0000 0.5000 O
0.0000 0.0000 0.0000 Ag
0.5000 0.5000 0.5000 Y
```

---

*x*
Compound: YAgP2O
Source: Alexandria via LeMat-Bulk
Functional: PBE
Structure: optimized geometry

Calculated values
V ... 124.46 Å³/cell

```
YAgP2O
1.0
-4.7668 0.7500 2.5203
-1.7850 -4.7544 -1.9612
1.4894 -1.9621 3.4009
P Ag Y O
2 1 1 1
Direct
0.5000 0.0000 0.0000 P
0.0000 0.5000 0.0000 P
0.5000 0.5000 0.5000 Ag
0.0000 0.0000 0.0000 Y
0.0000 0.0000 0.5000 O
```

---

The most stable arrangement is *w*, and the next structure is 90 meV/atom less stable.

---

*w*
Compound: ZnAgP2O
Source: Alexandria via LeMat-Bulk
Functional: PBE
Structure: optimized geometry

Calculated values
V ... 86.66 Å³/cell

```
ZnAgP2O
1.0
-1.1857 2.6581 -4.0134
-4.3590 1.1610 2.0568
1.4526 2.8593 1.4645
P Ag Zn O
2 1 1 1
Direct
0.5000 0.0000 0.0000 P
0.0000 0.5000 0.0000 P
0.5000 0.5000 0.5000 Ag
0.0000 0.0000 0.0000 Zn
0.0000 0.0000 0.5000 O
```

---

*x*
Compound: ZnAgP2O
Source: Alexandria via LeMat-Bulk
Functional: PBE
Structure: optimized geometry

Calculated values
V ... 94.46 Å³/cell

```
ZnAgP2O
1.0
4.9102 0.0000 0.0000
0.0000 4.9102 0.0000
0.0000 0.0000 3.9178
O P Ag Zn
1 2 1 1
Direct
0.0000 0.0000 0.5000 O
0.5000 0.0000 0.0000 P
0.0000 0.5000 0.0000 P
0.0000 0.0000 0.0000 Ag
0.5000 0.5000 0.5000 Zn
```

---

The most stable arrangement is *w*, and the next structure is 343 meV/atom less stable.

---

*w*
Compound: AgPb2O4
Source: Alexandria via LeMat-Bulk
Functional: PBE
Structure: optimized geometry

Calculated values
V ... 214.57 Å³/cell

```
AgPb2O4
1.0
-3.3382 -5.3580 1.7408
6.1299 0.3214 2.2813
-0.4239 0.0850 6.5341
O Ag Pb
8 2 4
Direct
0.8381 0.6248 0.3344 O
0.4118 0.5775 0.7134 O
0.4225 0.7092 0.1657 O
0.2908 0.1252 0.2866 O
0.3752 0.0408 0.7867 O
0.8748 0.5882 0.8343 O
0.8275 0.1619 0.2133 O
0.9592 0.1725 0.6656 O
0.2500 0.7500 0.5000 Ag
0.0000 0.0000 0.0000 Ag
0.4200 0.3750 0.4550 Pb
0.6250 0.1700 0.9550 Pb
0.1250 0.5800 0.0450 Pb
0.8300 0.8750 0.5450 Pb
```

---

*x*
Compound: AgPb2O4
Source: Alexandria via LeMat-Bulk
Functional: PBE
Structure: optimized geometry

Calculated values
V ... 239.15 Å³/cell

```
AgPb2O4
1.0
5.6135 0.2952 0.0000
-2.4928 5.0383 0.0000
0.0000 0.0000 8.2414
O Pb Ag
8 4 2
Direct
0.5000 0.0000 0.3204 O
0.0000 0.5000 0.1796 O
0.7845 0.6128 0.5000 O
0.2155 0.3872 0.5000 O
0.5000 0.0000 0.6796 O
0.3872 0.2155 0.0000 O
0.6128 0.7845 0.0000 O
0.0000 0.5000 0.8204 O
0.2156 0.7923 0.0000 Pb
0.7844 0.2077 0.0000 Pb
0.2077 0.7844 0.5000 Pb
0.7923 0.2156 0.5000 Pb
0.5000 0.5000 0.2500 Ag
0.5000 0.5000 0.7500 Ag
```

---

The most stable arrangement is *w*, and the next structure is 161 meV/atom less stable.

---

*w*
Compound: Ag3PbO
Source: Alexandria via LeMat-Bulk
Functional: PBE
Structure: optimized geometry

Calculated values
V ... 98.27 Å³/cell

```
Ag3PbO
1.0
-2.1077 -3.9718 1.0379
1.3512 -1.7730 -4.0406
3.8765 -1.5416 1.9727
Ag O Pb
3 1 1
Direct
0.5000 0.0000 0.0000 Ag
0.0000 0.0000 0.5000 Ag
0.0000 0.5000 0.0000 Ag
0.0000 0.0000 0.0000 O
0.5000 0.5000 0.5000 Pb
```

---

*x*
Compound: Ag3PbO
Source: Alexandria via LeMat-Bulk
Functional: PBE
Structure: optimized geometry

Calculated values
V ... 155.17 Å³/cell

```
Ag3PbO
1.0
-0.8367 -5.1927 1.1009
0.4943 -1.1859 -5.2178
5.2850 -0.7112 0.6623
Ag O Pb
3 1 1
Direct
0.0000 0.0000 0.5000 Ag
0.0000 0.5000 0.0000 Ag
0.5000 0.0000 0.0000 Ag
0.5000 0.5000 0.5000 O
0.0000 0.0000 0.0000 Pb
```

---

The most stable arrangement is *w*, and the next structure is 1129 meV/atom less stable.

---

*w*
Compound: Ag2PdO4
Source: Alexandria via LeMat-Bulk
Functional: PBE
Structure: optimized geometry

Calculated values
V ... 176.90 Å³/cell

```
Ag2PdO4
1.0
5.7725 -0.0975 0.0000
-2.9131 4.9845 0.0000
0.0000 0.0000 6.2096
O Ag Pd
8 4 2
Direct
0.2712 0.2712 0.5000 O
0.5000 0.0000 0.7500 O
0.7288 0.7288 0.5000 O
0.0000 0.5000 0.7500 O
0.5000 0.0000 0.2500 O
0.7288 0.7288 0.0000 O
0.2712 0.2712 0.0000 O
0.0000 0.5000 0.2500 O
0.1748 0.8252 0.0000 Ag
0.8252 0.1748 0.5000 Ag
0.1748 0.8252 0.5000 Ag
0.8252 0.1748 0.0000 Ag
0.5000 0.5000 0.7500 Pd
0.5000 0.5000 0.2500 Pd
```

---

*x*
Compound: Ag2PdO4
Source: Alexandria via LeMat-Bulk
Functional: PBE
Structure: optimized geometry

Calculated values
V ... 89.41 Å³/cell

```
Ag2PdO4
1.0
-2.1602 -1.5495 1.7197
3.4483 -2.6914 4.8219
0.8027 3.0446 3.7576
Pd O Ag
1 4 2
Direct
0.0000 0.0000 0.0000 Pd
0.8470 0.3065 0.6504 O
0.1530 0.6935 0.3496 O
0.4534 0.0929 0.1897 O
0.5466 0.9071 0.8103 O
0.3025 0.3952 0.2619 Ag
0.6975 0.6048 0.7381 Ag
```

---

The most stable arrangement is *x*, and the next structure is 189 meV/atom less stable.

---

*w*
Compound: AgPdO
Source: Alexandria via LeMat-Bulk
Functional: PBE
Structure: optimized geometry

Calculated values
V ... 89.83 Å³/cell

```
AgPdO
1.0
-0.1583 -0.8361 2.8907
4.5958 -2.1904 0.7977
2.4473 4.8264 2.6823
Ag O Pd
2 2 2
Direct
0.6962 0.4457 0.2225 Ag
0.0548 0.9077 0.0402 Ag
0.1219 0.7269 0.6976 O
0.3138 0.1903 0.7242 O
0.7187 0.4584 0.7065 Pd
0.3361 0.9982 0.4267 Pd
```

---

*x*
Compound: AgPdO
Source: Alexandria via LeMat-Bulk
Functional: PBE
Structure: optimized geometry

Calculated values
V ... 175.93 Å³/cell

```
AgPdO
1.0
2.9933 0.0000 0.0000
0.0000 4.8948 0.0000
0.0000 0.0000 12.0075
Ag Pd O
4 4 4
Direct
0.5000 0.2418 0.9318 Ag
0.5000 0.7582 0.0682 Ag
0.0000 0.2582 0.4318 Ag
0.0000 0.7418 0.5682 Ag
0.5000 0.7293 0.3668 Pd
0.5000 0.2707 0.6332 Pd
0.0000 0.7707 0.8668 Pd
0.0000 0.2293 0.1332 Pd
0.0000 0.0602 0.7086 O
0.5000 0.5602 0.7914 O
0.5000 0.4398 0.2086 O
0.0000 0.9398 0.2914 O
```

---

The most stable arrangement is *w*, and the next structure is 86 meV/atom less stable.

---

*w*
Compound: AgPdO
Source: Alexandria via LeMat-Bulk
Functional: PBE
Structure: optimized geometry

Calculated values
V ... 42.90 Å³/cell

```
AgPdO
1.0
-0.3464 -4.1495 3.2557
0.7789 -1.8675 -2.2973
2.1686 1.2188 1.7842
Pd Ag O
1 1 1
Direct
0.0629 0.0000 0.0000 Pd
0.6487 0.3333 0.6667 Ag
0.2884 0.6667 0.3333 O
```

---

*x*
Compound: AgPdO
Source: Alexandria via LeMat-Bulk
Functional: PBE
Structure: optimized geometry

Calculated values
V ... 41.38 Å³/cell

```
AgPdO
1.0
-1.0665 -0.0980 2.6750
-0.9429 -2.6812 -0.4742
5.3374 -0.4279 0.5604
Ag O Pd
1 1 1
Direct
0.6267 0.6267 0.2534 Ag
0.3059 0.3059 0.6118 O
0.9174 0.9174 0.8348 Pd
```

---

The most stable arrangement is *w*, and the next structure is 180 meV/atom less stable.